No. 1
Here is crystalline Tb6Er12Cd at its relaxed geometry from the Alexandria database. Energies are from PBE.

The density of states at the Fermi level comes out at 1.47 states/eV per atom. For the calculated volume, the calculation gives 590 Å³/f.u. The formation energy is 0.108 eV/atom. For the total moment, the calculation gives 0.0001 μB/atom.

CIF file:
```
data_Tb6Er12Cd
_chemical_formula_sum 'Tb6 Er12 Cd1'
_cell_length_a 8.390
_cell_length_b 8.390
_cell_length_c 8.390
_cell_angle_alpha 88.83
_cell_angle_beta 88.83
_cell_angle_gamma 88.83
_space_group_name_H-M_alt 'P 1'
_space_group_IT_number 1
_space_group_name_Hall 'P 1'
loop_
_atom_site_label
_atom_site_type_symbol
_atom_site_fract_x
_atom_site_fract_y
_atom_site_fract_z
_atom_site_occupancy
Tb1 Tb 0.205 0.596 0.761 1
Tb2 Tb 0.239 0.795 0.404 1
Tb3 Tb 0.404 0.239 0.795 1
Tb4 Tb 0.596 0.761 0.205 1
Tb5 Tb 0.761 0.205 0.596 1
Tb6 Tb 0.795 0.404 0.239 1
Er1 Er 0.038 0.280 0.936 1
Er2 Er 0.064 0.962 0.720 1
Er3 Er 0.137 0.318 0.485 1
Er4 Er 0.280 0.936 0.038 1
Er5 Er 0.318 0.485 0.137 1
Er6 Er 0.485 0.137 0.318 1
Er7 Er 0.515 0.863 0.682 1
Er8 Er 0.682 0.515 0.863 1
Er9 Er 0.720 0.064 0.962 1
Er10 Er 0.863 0.682 0.515 1
Er11 Er 0.936 0.038 0.280 1
Er12 Er 0.962 0.720 0.064 1
Cd1 Cd 0.500 0.500 0.500 1
```

---

No. 2
Here is crystalline ReRu at its relaxed geometry from the Alexandria database. Energies are from PBE.

The density of states at the Fermi level comes out at 1.08 states/eV per atom. For the calculated volume, the calculation gives 32 Å³/f.u. The formation energy is 0.313 eV/atom. For the total moment, the calculation gives 0.0000 μB/atom.

CIF file:
```
data_ReRu
_chemical_formula_sum 'Re6 Ru6'
_cell_length_a 7.182
_cell_length_b 7.182
_cell_length_c 4.244
_cell_angle_alpha 90.00
_cell_angle_beta 90.00
_cell_angle_gamma 120.00
_space_group_name_H-M_alt 'P 1'
_space_group_IT_number 1
_space_group_name_Hall 'P 1'
loop_
_atom_site_label
_atom_site_type_symbol
_atom_site_fract_x
_atom_site_fract_y
_atom_site_fract_z
_atom_site_occupancy
Re1 Re 0.105 0.618 0.250 1
Re2 Re 0.382 0.487 0.250 1
Re3 Re 0.487 0.105 0.750 1
Re4 Re 0.513 0.895 0.250 1
Re5 Re 0.618 0.513 0.750 1
Re6 Re 0.895 0.382 0.750 1
Ru1 Ru 0.051 0.808 0.750 1
Ru2 Ru 0.192 0.243 0.750 1
Ru3 Ru 0.243 0.051 0.250 1
Ru4 Ru 0.757 0.949 0.750 1
Ru5 Ru 0.808 0.757 0.250 1
Ru6 Ru 0.949 0.192 0.250 1
```

---

No. 3
Here is crystalline LiMg6Pb12 at its relaxed geometry from the Alexandria database. Energies are from PBE.

The density of states at the Fermi level comes out at 0.36 states/eV per atom. For the calculated volume, the calculation gives 533 Å³/f.u. The formation energy is -0.030 eV/atom. For the total moment, the calculation gives 0.0000 μB/atom.

CIF file:
```
data_LiMg6Pb12
_chemical_formula_sum 'Li1 Mg6 Pb12'
_cell_length_a 8.109
_cell_length_b 8.109
_cell_length_c 8.109
_cell_angle_alpha 89.45
_cell_angle_beta 89.45
_cell_angle_gamma 89.45
_space_group_name_H-M_alt 'P 1'
_space_group_IT_number 1
_space_group_name_Hall 'P 1'
loop_
_atom_site_label
_atom_site_type_symbol
_atom_site_fract_x
_atom_site_fract_y
_atom_site_fract_z
_atom_site_occupancy
Li1 Li 0.000 0.000 0.000 1
Mg1 Mg 0.105 0.283 0.739 1
Mg2 Mg 0.261 0.895 0.717 1
Mg3 Mg 0.283 0.739 0.105 1
Mg4 Mg 0.717 0.261 0.895 1
Mg5 Mg 0.739 0.105 0.283 1
Mg6 Mg 0.895 0.717 0.261 1
Pb1 Pb 0.005 0.353 0.145 1
Pb2 Pb 0.145 0.005 0.353 1
Pb3 Pb 0.202 0.551 0.451 1
Pb4 Pb 0.353 0.145 0.005 1
Pb5 Pb 0.449 0.549 0.798 1
Pb6 Pb 0.451 0.202 0.551 1
Pb7 Pb 0.549 0.798 0.449 1
Pb8 Pb 0.551 0.451 0.202 1
Pb9 Pb 0.647 0.855 0.995 1
Pb10 Pb 0.798 0.449 0.549 1
Pb11 Pb 0.855 0.995 0.647 1
Pb12 Pb 0.995 0.647 0.855 1
```